Below is crystalline SrAcP2Pt2 at its relaxed geometry, with properties calculated at the PBE level.

density of states at the Fermi level = 0.48 states/eV/atom
ΔE_f = -1.221 eV/atom
volume = 135.8 Å³ per cell
electronic total energy = -36.019 eV per cell

Lattice parameters (Å, degrees): 4.2325 4.2325 8.7528 90.00 90.00 120.00
Fractional coordinates of all 6 atoms:
Sr1 0.0000 0.0000 0.5000
Ac1 0.0000 0.0000 0.0000
P1 0.6667 0.3333 0.7538
P2 0.3333 0.6667 0.2462
Pt1 0.6667 0.3333 0.2495
Pt2 0.3333 0.6667 0.7505